Entry 1:
Sr3ScCd after structural relaxation. Source: the Alexandria database, functional GGA-PBE.

The calculated density comes out at 2.7 Mg/m³. As for the formation energy: 639 meV per atom. The value obtained for the density of states at the Fermi level is 4.7 states/eV/cell. For the polymorph energy (0 for the lowest one), the calculation gives 25.5 kJ per mole of atoms.

The structure belongs to space group Pm-3m (No. 221); the cell edges are 6.394, 6.394 and 6.394 Å and the angles 90.00°, 90.00° and 90.00°. The asymmetric unit holds Sr at (0.000, 0.000, 0.500), Sc at (0.000, 0.000, 0.000) and Cd at (0.500, 0.500, 0.500).

Entry 2:
SrScCd2 after structural relaxation. Source: the Alexandria database, functional GGA-PBE.

The calculated density comes out at 5.4 Mg/m³. As for the formation energy: -7 meV per atom. The value obtained for the density of states at the Fermi level is 8.4 states/eV/cell.

The structure belongs to space group I-4m2 (No. 119); the cell edges are 4.704, 4.704 and 9.859 Å and the angles 90.00°, 90.00° and 90.00°. The asymmetric unit holds Sr at (0.000, 0.000, 0.000), Sc at (0.000, 0.500, 0.250), Cd at (0.000, 0.000, 0.500) and Cd at (0.000, 0.500, 0.750).

Entry 3:
SrScCd after structural relaxation. Source: the Alexandria database, functional GGA-PBE.

The calculated density comes out at 4.4 Mg/m³. As for the formation energy: -62 meV per atom. The value obtained for the density of states at the Fermi level is 6.5 states/eV/cell. For the polymorph energy (0 for the lowest one), the calculation gives 6.7 kJ per mole of atoms.

The structure belongs to space group I4mm (No. 107); the cell edges are 3.765, 3.765 and 12.998 Å and the angles 90.00°, 90.00° and 90.00°. The asymmetric unit holds Sr at (0.000, 0.000, 0.000), Sc at (0.000, 0.000, 0.286) and Cd at (0.000, 0.000, 0.680).

Question: Which value of calculated density does entry 1 give?
Answer: 2.7 Mg/m³